Record 1
DFT (meta-GGA SCAN) results for a PBEsol-optimized structure of RbNa2Ge2.

Calculated values
The calculation puts the formation energy at -93 meV per atom.

abc: 5.4302 5.4302 9.9811
angles: 90.00 90.00 90.00
Closest atoms and distances in Å follow each position.
Space group I4/mmm (No. 139)
One atom of each set of equivalent atoms:
Rb  0.0000  0.0000  0.0000 [2 per cell]  8 Na 3.69, 10 Ge 3.84-4.01
Na  0.0000  0.5000  0.2500 [4 per cell]  4 Ge 3.03
Ge  0.0000  0.0000  0.3850 [4 per cell]  1 Ge 2.30

Record 2
DFT (meta-GGA SCAN) results for a PBEsol-optimized structure of TaCrCoB2.

Calculated values
The calculation puts the formation energy at 1867 meV per atom.

abc: 4.1726 4.1726 4.4980
angles: 90.00 90.00 90.00
Closest atoms and distances in Å follow each position.
Space group P4/mmm (No. 123)
One atom of each set of equivalent atoms:
Ta  0.0000  0.0000  0.0000 [1 per cell]  4 B 2.09, 2 Cr 2.25
Cr  0.0000  0.0000  0.5000 [1 per cell]  2 Ta 2.25
Co  0.5000  0.5000  0.5000 [1 per cell]  4 Cr 2.95, 8 B 3.07
B  0.0000  0.5000  0.0000 [2 per cell]  2 Ta 2.09

Record 3
DFT (meta-GGA SCAN) results for a PBEsol-optimized structure of ScTlW.

Calculated values
The calculation puts the formation energy at 423 meV per atom. The value obtained for the relative energy among the computed polymorphs is 39 meV/atom.

abc: 3.1088 3.8447 9.5818
angles: 90.00 90.00 90.00
Closest atoms and distances in Å follow each position.
Space group Imm2 (No. 44)
One atom of each set of equivalent atoms:
Sc  0.0000  0.0000  0.0000 [2 per cell]  4 W 2.89, 5 Tl 3.00-3.09, 2 Sc 3.11
Tl  0.0000  0.0000  0.6778 [2 per cell]  5 W 2.94-3.21, 5 Sc 3.00-3.09, 2 Tl 3.11
W  0.0000  0.0000  0.3432 [2 per cell]  4 Sc 2.89, 5 Tl 2.94-3.21, 2 W 3.11

Record 4
DFT (meta-GGA SCAN) results for a PBEsol-optimized structure of KYTe.

Calculated values
As for the raw formation energy: 201 meV per atom.

abc: 7.5121 7.5121 7.5121
angles: 90.00 90.00 90.00
Closest atoms and distances in Å follow each position.
Space group F-43m (No. 216)
One atom of each set of equivalent atoms:
K  0.0000  0.0000  0.0000 [4 per cell]  4 Te 3.25, 4 Y 3.25
Y  0.2500  0.2500  0.2500 [4 per cell]  4 K 3.25
Te  0.2500  0.2500  0.7500 [4 per cell]  4 K 3.25

Record 5
DFT (meta-GGA SCAN) results for a PBEsol-optimized structure of Cd2C.

Calculated values
The calculation puts the formation energy at 1200 meV per atom. The value obtained for the relative energy among the computed polymorphs is 0 meV/atom.

abc: 3.2310 11.0304 5.5741
angles: 90.00 90.00 90.00
Closest atoms and distances in Å follow each position.
Space group Cmc2_1 (No. 36)
One atom of each set of equivalent atoms:
Cd  0.0000  0.0231  0.0000 [4 per cell]  4 C 2.47-2.51
Cd  0.0000  0.2393  0.5074 [4 per cell]  3 C 2.31-2.43
C  0.0000  0.3872  0.2145 [4 per cell]  7 Cd 2.31-2.51

Record 6
DFT (meta-GGA SCAN) results for a PBEsol-optimized structure of Pr12Si5Se28.

Calculated values
As for the raw formation energy: -1596 meV per atom.

abc: 10.5221 10.5221 23.9943
angles: 90.00 90.00 120.00
Closest atoms and distances in Å follow each position.
Space group P3 (No. 143)
One atom of each set of equivalent atoms:
Pr  0.0180  0.5523  0.0000 [3 per cell]  7 Se 2.88-3.21
Pr  0.0186  0.5623  0.7591 [3 per cell]  8 Se 2.91-3.17
Pr  0.0273  0.5624  0.2609 [3 per cell]  7 Se 2.93-3.17
Pr  0.0287  0.5738  0.5151 [3 per cell]  8 Se 2.91-3.17
Pr  0.2997  0.1044  0.1272 [3 per cell]  7 Se 2.89-3.13
Pr  0.3055  0.1031  0.3838 [3 per cell]  8 Se 2.94-3.14
Pr  0.3139  0.1091  0.8809 [3 per cell]  7 Se 2.91-3.15
Pr  0.3218  0.1044  0.6413 [3 per cell]  6 Se 2.88-3.13
Si  0.0000  0.0000  0.2356 [1 per cell]  4 Se 2.27-2.29
Si  0.0000  0.0000  0.4910 [1 per cell]  4 Se 2.22-2.30
Si  0.0000  0.0000  0.7379 [1 per cell]  4 Se 2.24-2.30
Si  0.0000  0.0000  0.9825 [1 per cell]  4 Se 2.29
Si  0.3333  0.6667  0.1115 [1 per cell]  4 Se 2.28-2.29
Si  0.3333  0.6667  0.3669 [1 per cell]  4 Se 2.23-2.30
Si  0.3333  0.6667  0.6150 [1 per cell]  4 Se 2.23-2.32
Si  0.3333  0.6667  0.8604 [1 per cell]  4 Se 2.27-2.29
Si  0.6667  0.3333  0.2020 [1 per cell]  6 Se 2.47-2.66
Si  0.6667  0.3333  0.4508 [1 per cell]  6 Se 2.48-2.61
Se  0.0000  0.0000  0.0780 [1 per cell]  1 Si 2.29
Se  0.0000  0.0000  0.3301 [1 per cell]  1 Si 2.27
Se  0.0000  0.0000  0.5836 [1 per cell]  1 Si 2.22
Se  0.0000  0.0000  0.8313 [1 per cell]  1 Si 2.24
Se  0.0797  0.8516  0.7001 [3 per cell]  1 Si 2.30
Se  0.0826  0.8545  0.4518 [3 per cell]  1 Si 2.30
Se  0.0854  0.8542  0.2003 [3 per cell]  1 Si 2.29
Se  0.0852  0.8544  0.9477 [3 per cell]  1 Si 2.29
Se  0.1793  0.4376  0.5766 [3 per cell]  1 Si 2.32
Se  0.1860  0.4376  0.8235 [3 per cell]  1 Si 2.29
Se  0.1872  0.4377  0.3290 [3 per cell]  1 Si 2.30
Se  0.1920  0.4368  0.0755 [3 per cell]  1 Si 2.28
Se  0.3333  0.6667  0.2069 [1 per cell]  1 Si 2.29
Se  0.3333  0.6667  0.4599 [1 per cell]  1 Si 2.23
Se  0.3333  0.6667  0.7078 [1 per cell]  1 Si 2.23
Se  0.3333  0.6667  0.9549 [1 per cell]  1 Si 2.27
Se  0.4072  0.1712  0.0142 [3 per cell]  3 Pr 2.89-2.93
Se  0.4113  0.1664  0.7610 [3 per cell]  4 Pr 2.91-3.01
Se  0.4226  0.1774  0.2609 [3 per cell]  1 Si 2.66, 2 Pr 2.93-2.95
Se  0.4355  0.1791  0.5030 [3 per cell]  1 Si 2.48
Se  0.4927  0.4194  0.6347 [3 per cell]  4 Pr 2.88-3.10
Se  0.5025  0.4269  0.8855 [3 per cell]  4 Pr 2.88-3.16
Se  0.5150  0.4197  0.3920 [3 per cell]  1 Si 2.61
Se  0.5253  0.4204  0.1482 [3 per cell]  1 Si 2.47

Record 7
DFT (meta-GGA SCAN) results for a PBEsol-optimized structure of BaZr2Rh.

Calculated values
The calculation puts the formation energy at -122 meV per atom. The value obtained for the relative energy among the computed polymorphs is 0 meV/atom.

abc: 3.3361 3.3361 8.7789
angles: 90.00 90.00 90.00
Closest atoms and distances in Å follow each position.
Space group P4mm (No. 99)
One atom of each set of equivalent atoms:
Ba  0.0000  0.0000  0.0000 [1 per cell]  4 Ba 3.34, 4 Rh 3.36, 1 Zr 3.69
Zr  0.0000  0.0000  0.4201 [1 per cell]  4 Rh 2.69
Zr  0.5000  0.5000  0.6475 [1 per cell]  8 Zr 3.09-3.34, 1 Rh 3.29
Rh  0.5000  0.5000  0.2730 [1 per cell]  4 Zr 2.69

Record 8
DFT (meta-GGA SCAN) results for a PBEsol-optimized structure of ZrMnF6.

Calculated values
As for the raw formation energy: -3571 meV per atom.

abc: 8.2043 8.2043 8.2043
angles: 90.00 90.00 90.00
Closest atoms and distances in Å follow each position.
Space group Fm-3m (No. 225)
One atom of each set of equivalent atoms:
Zr  0.0000  0.0000  0.0000 [4 per cell]  6 F 2.01
Mn  0.0000  0.0000  0.5000 [4 per cell]  6 F 2.09
F  0.0000  0.0000  0.2451 [24 per cell]  1 Zr 2.01, 1 Mn 2.09